Record 1
A relaxed structure of AcIn2Pd, computed with PBE.

Structure (extended XYZ):
```
4
Lattice="2.324 1.342 5.845 -2.324 1.342 5.845 0.000 -2.684 5.845" Properties=species:S:1:pos:R:3 pbc="T T T"
Ac 0.000 0.000 0.000
In 0.000 0.000 3.738
In 0.000 0.000 13.797
Pd 0.000 0.000 8.767
```

## Properties
DFT total energy: -16.92 eV/cell
SG: No. 166
total moment: 0.00 μB per atom
DFT formation energy: -0.537 eV/atom


Record 2
A relaxed structure of CeRhAu2, computed with PBE.

Structure (extended XYZ):
```
8
Lattice="4.145 0.000 0.000 0.000 7.919 0.000 -1.620 0.000 5.032" Properties=species:S:1:pos:R:3 pbc="T T T"
Ce 0.000 1.980 0.729
Ce 2.525 5.940 4.303
Rh -0.039 5.940 2.506
Rh 2.564 1.980 2.526
Au 0.485 0.505 3.721
Au 0.485 3.454 3.721
Au 2.040 4.465 1.311
Au 2.040 7.414 1.311
```

## Properties
DFT total energy: -44.49 eV/cell
SG: No. 11
total moment: 0.02 μB per atom
DFT formation energy: -0.601 eV/atom